Record 1
Here is crystalline Er2FeOs3 at its relaxed geometry from Alexandria via LeMat-Bulk. Energies are from PBE.

Space-group type: C2/m, No. 12
Formation energy from the elements (kJ/mol of formula units): -181

Lattice parameters (Å, degrees): 9.0491 5.3157 5.2481 90.00 124.24 90.00
Fractional coordinates of all 12 atoms:
1 Er 0.1241 0.0000 0.3759
2 Er 0.3759 0.5000 0.6241
3 Er 0.6241 0.5000 0.3759
4 Er 0.8759 0.0000 0.6241
5 Fe 0.0000 0.5000 0.0000
6 Fe 0.5000 0.0000 0.0000
7 Os 0.0000 0.5000 0.5000
8 Os 0.2500 0.2500 0.0000
9 Os 0.2500 0.7500 0.0000
10 Os 0.5000 0.0000 0.5000
11 Os 0.7500 0.2500 0.0000
12 Os 0.7500 0.7500 0.0000


Record 2
Here is crystalline Er6Fe2Os at its relaxed geometry from Alexandria via LeMat-Bulk. Energies are from PBE.

Space-group type: Immm, No. 71
Formation energy from the elements (kJ/mol of formula units): -83

Lattice parameters (Å, degrees): 8.1202 8.1202 8.1202 110.73 109.34 108.36
Fractional coordinates of all 18 atoms:
1 Er 0.0262 0.2037 0.8226
2 Er 0.2525 0.5752 0.3227
3 Er 0.2525 0.9299 0.6773
4 Er 0.2627 0.3094 0.5721
5 Er 0.2627 0.6906 0.9533
6 Er 0.3811 0.2037 0.1774
7 Er 0.6189 0.7963 0.8226
8 Er 0.7373 0.3094 0.0467
9 Er 0.7373 0.6906 0.4279
10 Er 0.7475 0.0701 0.3227
11 Er 0.7475 0.4248 0.6773
12 Er 0.9738 0.7963 0.1774
13 Fe 0.0000 0.1241 0.1241
14 Fe 0.0000 0.8759 0.8759
15 Fe 0.3888 0.0000 0.3888
16 Fe 0.6112 0.0000 0.6112
17 Os 0.0000 0.5000 0.5000
18 Os 0.5000 0.5000 0.0000


Record 3
Here is crystalline Er2FeOs at its relaxed geometry from Alexandria via LeMat-Bulk. Energies are from PBE.

Space-group type: R-3m, No. 166
Formation energy from the elements (kJ/mol of formula units): 227

Lattice parameters (Å, degrees): 3.2030 3.2030 28.8005 90.00 90.00 120.00
Fractional coordinates of all 12 atoms:
1 Er 0.0000 0.0000 0.0931
2 Er 0.0000 0.0000 0.9069
3 Er 0.3333 0.6667 0.5736
4 Er 0.3333 0.6667 0.7598
5 Er 0.6667 0.3333 0.2402
6 Er 0.6667 0.3333 0.4264
7 Fe 0.0000 0.0000 0.0000
8 Fe 0.3333 0.6667 0.6667
9 Fe 0.6667 0.3333 0.3333
10 Os 0.0000 0.0000 0.5000
11 Os 0.3333 0.6667 0.1667
12 Os 0.6667 0.3333 0.8333


Record 4
Here is crystalline ErFeSi3Os at its relaxed geometry from Alexandria via LeMat-Bulk. Energies are from PBE.

Space-group type: Cmcm, No. 63
Uncorrected formation energy (eV per formula unit): -1.8

Lattice parameters (Å, degrees): 6.5159 6.5159 5.3314 90.00 90.00 110.09
Fractional coordinates of all 12 atoms:
1 Er 0.2418 0.7582 0.7500
2 Er 0.7582 0.2418 0.2500
3 Fe 0.0431 0.9569 0.2500
4 Fe 0.9569 0.0431 0.7500
5 Si 0.2366 0.7634 0.2500
6 Si 0.2394 0.2394 0.0000
7 Si 0.2394 0.2394 0.5000
8 Si 0.7606 0.7606 0.0000
9 Si 0.7606 0.7606 0.5000
10 Si 0.7634 0.2366 0.7500
11 Os 0.4440 0.5560 0.2500
12 Os 0.5560 0.4440 0.7500


Record 5
Here is crystalline ErTaFeOs at its relaxed geometry from Alexandria via LeMat-Bulk. Energies are from PBE.

Space-group type: F-43m, No. 216
Formation energy from the elements (kJ/mol of formula units): -50

Lattice parameters (Å, degrees): 6.4427 6.4427 6.4427 90.00 90.00 90.00
Fractional coordinates of all 16 atoms:
1 Er 0.0000 0.0000 0.0000
2 Er 0.0000 0.5000 0.5000
3 Er 0.5000 0.0000 0.5000
4 Er 0.5000 0.5000 0.0000
5 Ta 0.0000 0.0000 0.5000
6 Ta 0.0000 0.5000 0.0000
7 Ta 0.5000 0.0000 0.0000
8 Ta 0.5000 0.5000 0.5000
9 Fe 0.2500 0.2500 0.7500
10 Fe 0.2500 0.7500 0.2500
11 Fe 0.7500 0.2500 0.2500
12 Fe 0.7500 0.7500 0.7500
13 Os 0.2500 0.2500 0.2500
14 Os 0.2500 0.7500 0.7500
15 Os 0.7500 0.2500 0.7500
16 Os 0.7500 0.7500 0.2500


Record 6
Here is crystalline ErThFeOs at its relaxed geometry from Alexandria via LeMat-Bulk. Energies are from PBE.

Space-group type: F-43m, No. 216
Formation energy from the elements (kJ/mol of formula units): -36

Lattice parameters (Å, degrees): 6.9082 6.9082 6.9082 90.00 90.00 90.00
Fractional coordinates of all 16 atoms:
1 Er 0.0000 0.0000 0.0000
2 Er 0.0000 0.5000 0.5000
3 Er 0.5000 0.0000 0.5000
4 Er 0.5000 0.5000 0.0000
5 Th 0.0000 0.0000 0.5000
6 Th 0.0000 0.5000 0.0000
7 Th 0.5000 0.0000 0.0000
8 Th 0.5000 0.5000 0.5000
9 Fe 0.2500 0.2500 0.7500
10 Fe 0.2500 0.7500 0.2500
11 Fe 0.7500 0.2500 0.2500
12 Fe 0.7500 0.7500 0.7500
13 Os 0.2500 0.2500 0.2500
14 Os 0.2500 0.7500 0.7500
15 Os 0.7500 0.2500 0.7500
16 Os 0.7500 0.7500 0.2500


Record 7
Here is crystalline ErTmFeOs at its relaxed geometry from Alexandria via LeMat-Bulk. Energies are from PBE.

Space-group type: F-43m, No. 216
Formation energy from the elements (kJ/mol of formula units): -14

Lattice parameters (Å, degrees): 6.7543 6.7543 6.7543 90.00 90.00 90.00
Fractional coordinates of all 16 atoms:
1 Er 0.0000 0.0000 0.0000
2 Er 0.0000 0.5000 0.5000
3 Er 0.5000 0.0000 0.5000
4 Er 0.5000 0.5000 0.0000
5 Tm 0.0000 0.0000 0.5000
6 Tm 0.0000 0.5000 0.0000
7 Tm 0.5000 0.0000 0.0000
8 Tm 0.5000 0.5000 0.5000
9 Fe 0.2500 0.2500 0.2500
10 Fe 0.2500 0.7500 0.7500
11 Fe 0.7500 0.2500 0.7500
12 Fe 0.7500 0.7500 0.2500
13 Os 0.2500 0.2500 0.7500
14 Os 0.2500 0.7500 0.2500
15 Os 0.7500 0.2500 0.2500
16 Os 0.7500 0.7500 0.7500


Record 8
Here is crystalline ErZrFeOs at its relaxed geometry from Alexandria via LeMat-Bulk. Energies are from PBE.

Space-group type: F-43m, No. 216
Formation energy from the elements (kJ/mol of formula units): -69

Lattice parameters (Å, degrees): 6.5735 6.5735 6.5735 90.00 90.00 90.00
Fractional coordinates of all 16 atoms:
1 Er 0.0000 0.0000 0.0000
2 Er 0.0000 0.5000 0.5000
3 Er 0.5000 0.0000 0.5000
4 Er 0.5000 0.5000 0.0000
5 Zr 0.0000 0.0000 0.5000
6 Zr 0.0000 0.5000 0.0000
7 Zr 0.5000 0.0000 0.0000
8 Zr 0.5000 0.5000 0.5000
9 Fe 0.2500 0.2500 0.7500
10 Fe 0.2500 0.7500 0.2500
11 Fe 0.7500 0.2500 0.2500
12 Fe 0.7500 0.7500 0.7500
13 Os 0.2500 0.2500 0.2500
14 Os 0.2500 0.7500 0.7500
15 Os 0.7500 0.2500 0.7500
16 Os 0.7500 0.7500 0.2500


no.,raw total energy (eV for the cell shown)
1,-106.31
2,-112.78
3,-79.39
4,-84.56
5,-146.48
6,-128.19
7,-115.50
8,-134.08